# 1
Material: Ba2LiCaRh
Method: DFT, GGA-PBE
State: optimized geometry

Cell lengths 6.0344, 6.0344, 5.3290 Å; angles 90.00, 90.00, 90.00 degrees
Fractional positions:
Ca1 0.5000 0.5000 0.5000
Rh1 0.0000 0.0000 0.0000
Ba1 0.0000 0.5000 0.0000
Ba2 0.5000 0.0000 0.0000
Li1 0.0000 0.0000 0.5000

Output
For the offset from the most stable computed form, the calculation gives 0.1609 eV per atom. The total moment comes out at 0.0 μB per formula unit. For the formation energy, the calculation gives 0.0501 eV per atom.

# 2
Material: Ba2LiCaRh
Method: DFT, GGA-PBE
State: optimized geometry

Cell lengths 6.1084, 6.1084, 5.5996 Å; angles 90.00, 90.00, 90.00 degrees
Fractional positions:
Ca1 0.0000 0.0000 0.5000
Rh1 0.0000 0.0000 0.0000
Ba1 0.0000 0.5000 0.0000
Ba2 0.5000 0.0000 0.0000
Li1 0.5000 0.5000 0.5000

Output
For the offset from the most stable computed form, the calculation gives 0.0000 eV per atom. The total moment comes out at 0.0 μB per formula unit. For the formation energy, the calculation gives -0.1108 eV per atom.

# 3
Material: Ba2LiCaS
Method: DFT, GGA-PBE
State: optimized geometry

Cell lengths 6.4269, 6.4269, 4.8960 Å; angles 90.00, 90.00, 90.00 degrees
Fractional positions:
S1 0.0000 0.0000 0.0000
Ca1 0.5000 0.5000 0.5000
Ba1 0.0000 0.5000 0.0000
Ba2 0.5000 0.0000 0.0000
Li1 0.0000 0.0000 0.5000

Output
For the offset from the most stable computed form, the calculation gives 0.0614 eV per atom. The total moment comes out at 0.0 μB per formula unit. The value obtained for the formation energy (no corrections) is -62 kJ per mole of atoms.

# 4
Material: Ba2LiCaS
Method: DFT, GGA-PBE
State: optimized geometry

Cell lengths 6.3243, 6.3243, 5.4239 Å; angles 90.00, 90.00, 90.00 degrees
Fractional positions:
S1 0.0000 0.0000 0.0000
Ca1 0.0000 0.0000 0.5000
Ba1 0.0000 0.5000 0.0000
Ba2 0.5000 0.0000 0.0000
Li1 0.5000 0.5000 0.5000

Output
For the offset from the most stable computed form, the calculation gives 0.0000 eV per atom. The total moment comes out at 0.0 μB per formula unit. The value obtained for the formation energy (no corrections) is -68 kJ per mole of atoms.

Q: offset from the most stable computed form of number 3 (Ba2LiCaS)?
A: 0.0614 eV per atom

Q: Which of these has the highest offset from the most stable computed form?
A: number 1